# Sm4Te3Au

An optimized crystal structure of Sm4Te3Au (GGA-PBE, OQMD via LeMat-Bulk).

Values from the calculation:
Symmetry: No. 65
DFT total energy: -5.1963 eV per atom

```
Sm4Te3Au
1.0
4.507 -6.249 0.000
4.507 6.249 0.000
0.000 0.000 4.299
Sm Te Au
4 3 1
Direct
0.232 0.232 0.500 Sm
0.244 0.756 0.000 Sm
0.756 0.244 0.000 Sm
0.768 0.768 0.500 Sm
0.000 0.500 0.500 Te
0.500 0.000 0.500 Te
0.500 0.500 0.000 Te
0.000 0.000 0.000 Au
```